1.
Computed, not measured: a PBEsol-optimized structure of BeAsOs2 at the SCAN level of DFT.

Calculated values
- Energy: -41.5837 eV per atom
- E above lowest polymorph: 196 meV/atom

abc: 2.7214 2.7214 8.1779
angles: 90.00 90.00 117.53
Last column: nearest neighbours and their distance in Å.
Atoms (fractional coordinates):
Be: 0.0000 0.0000 0.0000  4 Os 2.31
As: 0.0000 0.0000 0.5000  4 Os 2.67, 6 As 2.72-2.82
Os: 0.5000 0.5000 0.2234  2 Be 2.31
Os: 0.5000 0.5000 0.7766  2 Be 2.31

=====

2.
Computed, not measured: a PBEsol-optimized structure of AsC2 at the SCAN level of DFT.

Calculated values
- Energy: -12.5031 eV per atom
- E above lowest polymorph: 0 meV/atom

abc: 7.1749 7.1749 2.5129
angles: 90.00 90.00 120.00
Last column: nearest neighbours and their distance in Å.
Atoms (fractional coordinates):
As: 0.0000 0.0000 0.0000  3 C 1.98
As: 0.3333 0.6667 0.5000  3 C 2.29, 2 As 2.51
As: 0.6667 0.3333 0.5000  3 C 2.29, 2 As 2.51
C: 0.0000 0.2754 0.0000  2 C 1.41
C: 0.0000 0.3654 0.5000  2 C 1.41
C: 0.2754 0.0000 0.0000  2 C 1.41
C: 0.3654 0.0000 0.5000  2 C 1.41
C: 0.6346 0.6346 0.5000  2 C 1.41
C: 0.7246 0.7246 0.0000  2 C 1.41

=====

3.
Computed, not measured: a PBEsol-optimized structure of FeP4O12 at the SCAN level of DFT.

Calculated values
- Energy: -9.9929 eV per atom
- Energy relative to the elements, uncorrected: -2.0812 eV/atom
- E above lowest polymorph: 11 meV/atom

abc: 10.4880 10.4880 5.1467
angles: 99.34 99.34 74.76
Last column: nearest neighbours and their distance in Å.
Atoms (fractional coordinates):
Fe: 0.0000 0.5000 0.0000  4 O 1.80-1.87
Fe: 0.5000 0.0000 0.0000  4 O 1.80-1.87
P: 0.1486 0.6886 0.8307  3 O 1.45-1.61
P: 0.1861 0.4207 0.5433  4 O 1.49-1.59
P: 0.3114 0.8514 0.1693  3 O 1.45-1.61
P: 0.4207 0.1861 0.5433  4 O 1.49-1.59
P: 0.5793 0.8139 0.4567  4 O 1.49-1.59
P: 0.6886 0.1486 0.8307  3 O 1.45-1.61
P: 0.8139 0.5793 0.4567  4 O 1.49-1.59
P: 0.8514 0.3114 0.1693  3 O 1.45-1.61
O: 0.0624 0.7962 0.6918  1 P 1.45
O: 0.0807 0.4076 0.7041  1 P 1.53
O: 0.0911 0.6263 0.0271  1 P 1.56
O: 0.1547 0.3945 0.2496  1 P 1.49
O: 0.2038 0.9376 0.3082  1 P 1.45
O: 0.2208 0.5605 0.6350  2 P 1.58-1.63
O: 0.2835 0.7165 0.0000  2 P 1.61
O: 0.3231 0.3231 0.6439  2 P 1.59
O: 0.3737 0.9089 0.9729  1 P 1.56
O: 0.3945 0.1547 0.2496  1 P 1.49
O: 0.4076 0.0807 0.7041  1 P 1.53
O: 0.4395 0.7792 0.3650  2 P 1.58-1.63
O: 0.5605 0.2208 0.6350  2 P 1.58-1.63
O: 0.5924 0.9193 0.2959  1 P 1.53
O: 0.6055 0.8453 0.7504  1 P 1.49
O: 0.6263 0.0911 0.0271  1 P 1.56
O: 0.6769 0.6769 0.3561  2 P 1.59
O: 0.7165 0.2835 0.0000  2 P 1.61
O: 0.7792 0.4395 0.3650  2 P 1.58-1.63
O: 0.7962 0.0624 0.6918  1 P 1.45
O: 0.8453 0.6055 0.7504  1 P 1.49
O: 0.9089 0.3737 0.9729  1 P 1.56
O: 0.9193 0.5924 0.2959  1 P 1.53
O: 0.9376 0.2038 0.3082  1 P 1.45